# Zn12Cu17 (GGA-PBE, relaxed)
data_Zn12Cu17
_chemical_formula_sum 'Zn24 Cu34'
_cell_length_a 9.1139
_cell_length_b 9.1139
_cell_length_c 9.1139
_cell_angle_alpha 90.00
_cell_angle_beta 90.00
_cell_angle_gamma 90.00
_space_group_name_H-M_alt 'I -4 3 m'
_space_group_IT_number 217
_space_group_name_Hall 'I -4 2 3'
loop_
_atom_site_label
_atom_site_type_symbol
_atom_site_fract_x
_atom_site_fract_y
_atom_site_fract_z
Zn1 Zn 0.0944 0.0944 0.2886
Cu1 Cu 0.0000 0.0000 0.0000
Cu2 Cu 0.0484 0.3615 0.3615
Cu3 Cu 0.1755 0.1755 0.8245
# * ΔH_f (0 K): -0.011 eV/atom
# * D(E_F): 29.770 states/eV/cell
# * uncorrected energy: -2.940 eV per atom